(1)
# ZnReSO2 PBE-GGA relaxed
data_ZnReSO2
_cell_length_a 3.683
_cell_length_b 4.867
_cell_length_c 3.683
_cell_angle_alpha 90.00
_cell_angle_beta 90.00
_cell_angle_gamma 90.00
_symmetry_space_group_name_H-M 'P 1'
_symmetry_Int_Tables_number 1
_symmetry_space_group_name_Hall 'P 1'
loop_
_atom_site_label
_atom_site_type_symbol
_atom_site_fract_x
_atom_site_fract_y
_atom_site_fract_z
Re1 Re 0.000 0.500 0.000
Zn1 Zn 0.500 0.500 0.500
S1 S 0.000 0.000 0.000
O1 O 0.000 0.000 0.500
O2 O 0.500 0.000 0.000
# **Magnetic moment**: 2.2 μB per cell
# **Formation energy from raw total energies**: 0.687 eV per atom
# **Theoretical density**: 7.94 g/cm³

=====

(2)
# Li2Tl2Ru PBE-GGA relaxed
data_Li2Tl2Ru
_cell_length_a 7.586
_cell_length_b 7.586
_cell_length_c 3.156
_cell_angle_alpha 90.00
_cell_angle_beta 90.00
_cell_angle_gamma 90.00
_symmetry_space_group_name_H-M 'P 1'
_symmetry_Int_Tables_number 1
_symmetry_space_group_name_Hall 'P 1'
loop_
_atom_site_label
_atom_site_type_symbol
_atom_site_fract_x
_atom_site_fract_y
_atom_site_fract_z
Ru1 Ru 0.000 0.000 0.000
Ru2 Ru 0.500 0.500 0.000
Tl1 Tl 0.346 0.846 0.000
Tl2 Tl 0.846 0.654 0.000
Tl3 Tl 0.654 0.154 0.000
Tl4 Tl 0.154 0.346 0.000
Li1 Li 0.150 0.650 0.500
Li2 Li 0.650 0.850 0.500
Li3 Li 0.850 0.350 0.500
Li4 Li 0.350 0.150 0.500
# **Magnetic moment**: 2.0 μB per cell
# **Formation energy**: 0.24 eV/atom
# **Theoretical density**: 9.58 g/cm³

=====

(3)
# Li2VI2 PBE-GGA relaxed
data_Li2VI2
_cell_length_a 7.961
_cell_length_b 7.961
_cell_length_c 3.960
_cell_angle_alpha 90.00
_cell_angle_beta 90.00
_cell_angle_gamma 90.00
_symmetry_space_group_name_H-M 'P 1'
_symmetry_Int_Tables_number 1
_symmetry_space_group_name_Hall 'P 1'
loop_
_atom_site_label
_atom_site_type_symbol
_atom_site_fract_x
_atom_site_fract_y
_atom_site_fract_z
I1 I 0.333 0.833 0.000
I2 I 0.833 0.667 0.000
I3 I 0.667 0.167 0.000
I4 I 0.167 0.333 0.000
V1 V 0.000 0.000 0.000
V2 V 0.500 0.500 0.000
Li1 Li 0.157 0.657 0.500
Li2 Li 0.657 0.843 0.500
Li3 Li 0.843 0.343 0.500
Li4 Li 0.343 0.157 0.500
# **Magnetic moment**: 8.8 μB per cell
# **Formation energy from raw total energies**: -0.143 eV per atom
# **Theoretical density**: 4.22 g/cm³

=====

(4)
# LaMg2SiN4 PBE-GGA relaxed
data_LaMg2SiN4
_cell_length_a 5.366
_cell_length_b 5.232
_cell_length_c 5.232
_cell_angle_alpha 87.02
_cell_angle_beta 59.14
_cell_angle_gamma 59.14
_symmetry_space_group_name_H-M 'P 1'
_symmetry_Int_Tables_number 1
_symmetry_space_group_name_Hall 'P 1'
loop_
_atom_site_label
_atom_site_type_symbol
_atom_site_fract_x
_atom_site_fract_y
_atom_site_fract_z
La1 La 0.000 0.000 0.000
Mg1 Mg 0.500 0.750 0.250
Mg2 Mg 0.500 0.250 0.750
Si1 Si 0.000 0.500 0.500
N1 N 0.610 0.561 0.829
N2 N 0.390 0.171 0.439
N3 N 0.000 0.439 0.171
N4 N 0.000 0.829 0.561
# **Magnetic moment**: 0.9 μB per cell
# **Formation energy from raw total energies**: -0.889 eV per atom
# **Theoretical density**: 4.35 g/cm³

=====

(5)
# Nd2Tl2Pd15 PBE-GGA relaxed
data_Nd2Tl2Pd15
_cell_length_a 7.092
_cell_length_b 7.092
_cell_length_c 7.092
_cell_angle_alpha 81.94
_cell_angle_beta 81.94
_cell_angle_gamma 81.94
_symmetry_space_group_name_H-M 'P 1'
_symmetry_Int_Tables_number 1
_symmetry_space_group_name_Hall 'P 1'
loop_
_atom_site_label
_atom_site_type_symbol
_atom_site_fract_x
_atom_site_fract_y
_atom_site_fract_z
Nd1 Nd 0.354 0.354 0.354
Nd2 Nd 0.646 0.646 0.646
Tl1 Tl 0.106 0.106 0.106
Tl2 Tl 0.894 0.894 0.894
Pd1 Pd 0.500 0.000 0.000
Pd2 Pd 0.000 0.000 0.500
Pd3 Pd 0.000 0.500 0.000
Pd4 Pd 0.000 0.689 0.311
Pd5 Pd 0.689 0.311 0.000
Pd6 Pd 0.311 0.000 0.689
Pd7 Pd 0.311 0.689 0.000
Pd8 Pd 0.689 0.000 0.311
Pd9 Pd 0.000 0.311 0.689
Pd10 Pd 0.162 0.651 0.651
Pd11 Pd 0.651 0.651 0.162
Pd12 Pd 0.651 0.162 0.651
Pd13 Pd 0.838 0.349 0.349
Pd14 Pd 0.349 0.349 0.838
Pd15 Pd 0.349 0.838 0.349
# **Magnetic moment**: 0.0 μB per cell
# **Formation energy**: -0.33 eV/atom
# **Theoretical density**: 10.98 g/cm³

=====

(6)
# SrAuN3 PBE-GGA relaxed
data_SrAuN3
_cell_length_a 4.185
_cell_length_b 4.185
_cell_length_c 4.185
_cell_angle_alpha 90.00
_cell_angle_beta 90.00
_cell_angle_gamma 90.00
_symmetry_space_group_name_H-M 'P 1'
_symmetry_Int_Tables_number 1
_symmetry_space_group_name_Hall 'P 1'
loop_
_atom_site_label
_atom_site_type_symbol
_atom_site_fract_x
_atom_site_fract_y
_atom_site_fract_z
Sr1 Sr 0.500 0.500 0.500
Au1 Au 0.000 0.000 0.000
N1 N 0.000 0.500 0.000
N2 N 0.000 0.000 0.500
N3 N 0.500 0.000 0.000
# **Magnetic moment**: 3.0 μB per cell
# **Formation energy from raw total energies**: 1.298 eV per atom
# **Theoretical density**: 7.40 g/cm³

=====

(7)
# AcTc2AuO8 PBE-GGA relaxed
data_AcTc2AuO8
_cell_length_a 6.977
_cell_length_b 6.977
_cell_length_c 6.351
_cell_angle_alpha 90.00
_cell_angle_beta 90.00
_cell_angle_gamma 120.00
_symmetry_space_group_name_H-M 'P 1'
_symmetry_Int_Tables_number 1
_symmetry_space_group_name_Hall 'P 1'
loop_
_atom_site_label
_atom_site_type_symbol
_atom_site_fract_x
_atom_site_fract_y
_atom_site_fract_z
Ac1 Ac 0.000 0.000 0.500
Tc1 Tc 0.667 0.333 0.256
Tc2 Tc 0.333 0.667 0.744
Au1 Au 0.000 0.000 0.000
O1 O 0.333 0.667 0.014
O2 O 0.392 0.203 0.344
O3 O 0.797 0.189 0.344
O4 O 0.667 0.333 0.986
O5 O 0.203 0.811 0.656
O6 O 0.608 0.797 0.656
O7 O 0.189 0.392 0.656
O8 O 0.811 0.608 0.344
# **Magnetic moment**: 0.0 μB per cell
# **Formation energy from raw total energies**: -1.585 eV per atom
# **Theoretical density**: 4.64 g/cm³

=====

(8)
# Pm2YZnS5 PBE-GGA relaxed
data_Pm2YZnS5
_cell_length_a 3.856
_cell_length_b 8.660
_cell_length_c 11.955
_cell_angle_alpha 90.00
_cell_angle_beta 90.00
_cell_angle_gamma 102.87
_symmetry_space_group_name_H-M 'P 1'
_symmetry_Int_Tables_number 1
_symmetry_space_group_name_Hall 'P 1'
loop_
_atom_site_label
_atom_site_type_symbol
_atom_site_fract_x
_atom_site_fract_y
_atom_site_fract_z
Pm1 Pm 0.868 0.736 0.821
Pm2 Pm 0.115 0.229 0.684
Pm3 Pm 0.132 0.264 0.321
Pm4 Pm 0.885 0.771 0.184
Y1 Y 0.804 0.607 0.517
Y2 Y 0.196 0.393 0.017
Zn1 Zn 0.544 0.089 0.944
Zn2 Zn 0.456 0.911 0.444
S1 S 0.356 0.712 0.005
S2 S 0.683 0.365 0.854
S3 S 0.492 0.984 0.770
S4 S 0.291 0.583 0.678
S5 S 0.963 0.926 0.550
S6 S 0.644 0.288 0.505
S7 S 0.317 0.635 0.354
S8 S 0.508 0.016 0.270
S9 S 0.709 0.417 0.178
S10 S 0.037 0.074 0.050
# **Magnetic moment**: 0.0 μB per cell
# **Formation energy from raw total energies**: -1.744 eV per atom
# **Theoretical density**: 5.16 g/cm³

=====

(9)
# Be2SbRu PBE-GGA relaxed
data_Be2SbRu
_cell_length_a 4.625
_cell_length_b 4.606
_cell_length_c 4.625
_cell_angle_alpha 131.97
_cell_angle_beta 132.07
_cell_angle_gamma 70.28
_symmetry_space_group_name_H-M 'P 1'
_symmetry_Int_Tables_number 1
_symmetry_space_group_name_Hall 'P 1'
loop_
_atom_site_label
_atom_site_type_symbol
_atom_site_fract_x
_atom_site_fract_y
_atom_site_fract_z
Sb1 Sb 0.250 0.750 0.500
Be1 Be 0.000 0.998 0.998
Be2 Be 0.500 0.502 0.002
Ru1 Ru 0.750 0.250 0.500
# **Magnetic moment**: 0.0 μB per cell
# **Formation energy from raw total energies**: 0.155 eV per atom
# **Theoretical density**: 7.51 g/cm³

=====

(10)
# LiHo2Th3Te6 PBE-GGA relaxed
data_LiHo2Th3Te6
_cell_length_a 4.189
_cell_length_b 9.201
_cell_length_c 10.060
_cell_angle_alpha 109.81
_cell_angle_beta 102.02
_cell_angle_gamma 90.00
_symmetry_space_group_name_H-M 'P 1'
_symmetry_Int_Tables_number 1
_symmetry_space_group_name_Hall 'P 1'
loop_
_atom_site_label
_atom_site_type_symbol
_atom_site_fract_x
_atom_site_fract_y
_atom_site_fract_z
Li1 Li 0.500 0.000 0.000
Ho1 Ho 0.834 0.666 0.667
Ho2 Ho 0.166 0.334 0.333
Th1 Th 0.500 0.500 0.000
Th2 Th 0.829 0.160 0.658
Th3 Th 0.171 0.840 0.342
Te1 Te 0.344 0.912 0.689
Te2 Te 0.670 0.577 0.340
Te3 Te 0.656 0.088 0.311
Te4 Te 0.001 0.234 0.003
Te5 Te 0.999 0.766 0.997
Te6 Te 0.330 0.423 0.660
# **Magnetic moment**: 0.0 μB per cell
# **Formation energy from raw total energies**: -1.133 eV per atom
# **Theoretical density**: 8.40 g/cm³

=====

(11)
# RbLiCeSe3 PBE-GGA relaxed
data_RbLiCeSe3
_cell_length_a 4.347
_cell_length_b 9.321
_cell_length_c 9.744
_cell_angle_alpha 107.42
_cell_angle_beta 90.00
_cell_angle_gamma 90.00
_symmetry_space_group_name_H-M 'P 1'
_symmetry_Int_Tables_number 1
_symmetry_space_group_name_Hall 'P 1'
loop_
_atom_site_label
_atom_site_type_symbol
_atom_site_fract_x
_atom_site_fract_y
_atom_site_fract_z
Rb1 Rb 0.250 0.207 0.254
Rb2 Rb 0.750 0.793 0.746
Li1 Li 0.250 0.082 0.595
Li2 Li 0.750 0.918 0.405
Ce1 Ce 0.250 0.680 0.157
Ce2 Ce 0.750 0.320 0.843
Se1 Se 0.750 0.871 0.132
Se2 Se 0.250 0.129 0.868
Se3 Se 0.250 0.798 0.455
Se4 Se 0.750 0.202 0.545
Se5 Se 0.750 0.469 0.154
Se6 Se 0.250 0.531 0.846
# **Magnetic moment**: 0.0 μB per cell
# **Formation energy from raw total energies**: -1.490 eV per atom
# **Theoretical density**: 4.14 g/cm³

=====

(12)
# Be2SbBr PBE-GGA relaxed
data_Be2SbBr
_cell_length_a 3.632
_cell_length_b 3.632
_cell_length_c 7.121
_cell_angle_alpha 90.00
_cell_angle_beta 90.00
_cell_angle_gamma 120.12
_symmetry_space_group_name_H-M 'P 1'
_symmetry_Int_Tables_number 1
_symmetry_space_group_name_Hall 'P 1'
loop_
_atom_site_label
_atom_site_type_symbol
_atom_site_fract_x
_atom_site_fract_y
_atom_site_fract_z
Sb1 Sb 0.500 0.500 0.750
Br1 Br 0.500 0.500 0.250
Be1 Be 0.000 0.000 0.984
Be2 Be 0.000 0.000 0.516
# **Magnetic moment**: 0.0 μB per cell
# **Formation energy from raw total energies**: 0.530 eV per atom
# **Theoretical density**: 4.49 g/cm³

=====

Question: Which of these has the highest theoretical density?
Answer: Nd2Tl2Pd15

=====

Question: The highest theoretical density belongs to which entry?
Answer: Nd2Tl2Pd15

=====

Question: Among the records above, which one has the highest magnetic moment?
Answer: Li2VI2

=====

Question: What is the magnetic moment in the second record?
Answer: 2.0 μB per cell